Density functional theory data (GGA-PBEsol) for a geometry-optimized P2HOsS structure. Values from VASP.

Output
The energy comes out at -27.1 eV for the cell shown. As for the space-group type: P4/mmm.

Structure (Quantum ESPRESSO input):
```
&SYSTEM
  ibrav = 0, nat = 5, ntyp = 4
/
ATOMIC_SPECIES
P 30.97 P.upf
H 1.01 H.upf
Os 190.23 Os.upf
S 32.06 S.upf
ATOMIC_POSITIONS crystal
P 0.000 0.500 0.000
P 0.500 0.000 0.000
H 0.000 0.000 0.000
Os 0.500 0.500 0.500
S 0.000 0.000 0.500
CELL_PARAMETERS angstrom
3.583 0.000 0.000
0.000 3.583 0.000
0.000 0.000 4.488
```

---

Density functional theory data (GGA-PBEsol) for a geometry-optimized Sr2ReRu structure. Values from VASP.

Output
The calculation puts the energy of formation from the pure elements at 598.8 meV per atom. As for the space-group type: Immm. The value obtained for the energy relative to the lowest polymorph listed for this composition is 81 meV per atom.

Structure (Quantum ESPRESSO input):
```
&SYSTEM
  ibrav = 0, nat = 8, ntyp = 3
/
ATOMIC_SPECIES
Sr 87.62 Sr.upf
Re 186.21 Re.upf
Ru 101.07 Ru.upf
ATOMIC_POSITIONS crystal
Sr 0.000 0.000 0.148
Sr 0.000 0.000 0.852
Sr 0.500 0.500 0.352
Sr 0.500 0.500 0.648
Re 0.000 0.500 0.000
Re 0.500 0.000 0.500
Ru 0.000 0.500 0.500
Ru 0.500 0.000 0.000
CELL_PARAMETERS angstrom
3.377 0.000 0.000
0.000 3.759 0.000
0.000 0.000 17.545
```

---

Density functional theory data (GGA-PBEsol) for a geometry-optimized FeTe2W structure. Values from VASP.

Output
As for the space-group type: F-43m. The value obtained for the energy relative to the lowest polymorph listed for this composition is 1214 meV per atom.

Structure (Quantum ESPRESSO input):
```
&SYSTEM
  ibrav = 0, nat = 16, ntyp = 3
/
ATOMIC_SPECIES
Fe 55.84 Fe.upf
Te 127.60 Te.upf
W 183.84 W.upf
ATOMIC_POSITIONS crystal
Fe 0.000 0.000 0.000
Fe 0.000 0.500 0.500
Fe 0.500 0.000 0.500
Fe 0.500 0.500 0.000
Te 0.000 0.000 0.500
Te 0.000 0.500 0.000
Te 0.250 0.250 0.250
Te 0.250 0.750 0.750
Te 0.500 0.000 0.000
Te 0.500 0.500 0.500
Te 0.750 0.250 0.750
Te 0.750 0.750 0.250
W 0.250 0.250 0.750
W 0.250 0.750 0.250
W 0.750 0.250 0.250
W 0.750 0.750 0.750
CELL_PARAMETERS angstrom
6.716 0.000 0.000
0.000 6.716 0.000
0.000 0.000 6.716
```

---

Density functional theory data (GGA-PBEsol) for a geometry-optimized MnIrPt2 structure. Values from VASP.

Output
The calculation puts the energy of formation from the pure elements at -114.5 meV per atom. As for the space-group type: I4/mmm.

Structure (Quantum ESPRESSO input):
```
&SYSTEM
  ibrav = 0, nat = 8, ntyp = 3
/
ATOMIC_SPECIES
Mn 54.94 Mn.upf
Ir 192.22 Ir.upf
Pt 195.08 Pt.upf
ATOMIC_POSITIONS crystal
Mn 0.000 0.000 0.000
Mn 0.500 0.500 0.500
Ir 0.000 0.000 0.500
Ir 0.500 0.500 0.000
Pt 0.000 0.500 0.250
Pt 0.000 0.500 0.750
Pt 0.500 0.000 0.250
Pt 0.500 0.000 0.750
CELL_PARAMETERS angstrom
3.817 0.000 0.000
0.000 3.817 0.000
0.000 0.000 7.745
```

---

Calculated values (kg/m³) of density for the records, taken in order: 8220; 6896; 10851; 18760.